First-principles (PBE) data for LiAcSb2 after structural relaxation, as listed in Alexandria.

Cell and atoms, written as CIF:
```
data_LiAcSb2
_symmetry_space_group_name_H-M 'P 1'
_symmetry_Int_Tables_number 1
_symmetry_space_group_name_Hall 'P 1'
_cell_length_a 5.531
_cell_length_b 5.531
_cell_length_c 5.531
_cell_angle_alpha 60.00
_cell_angle_beta 60.00
_cell_angle_gamma 60.00
loop_
_atom_site_label
_atom_site_type_symbol
_atom_site_fract_x
_atom_site_fract_y
_atom_site_fract_z
Ac1 Ac 0.000 0.000 0.000
Sb1 Sb 0.250 0.250 0.250
Sb2 Sb 0.750 0.750 0.750
Li1 Li 0.500 0.500 0.500
```

Values from the calculation:
Energy relative to the lowest polymorph listed for this composition (meV per atom): 291.3
Space group: Fm-3m (225)